Record 1
# KVFeCl6, optimized geometry, DFT PBE-GGA
data_KVFeCl6
_chemical_formula_sum 'K1 V1 Fe1 Cl6'
_cell_length_a 6.1704
_cell_length_b 6.1706
_cell_length_c 7.0452
_cell_angle_alpha 90.00
_cell_angle_beta 90.00
_cell_angle_gamma 60.00
_symmetry_space_group_name_H-M 'P 1'
_symmetry_Int_Tables_number 1
_symmetry_space_group_name_Hall 'P 1'
loop_
_atom_site_label
_atom_site_fract_x
_atom_site_fract_y
_atom_site_fract_z
K1 0.0000 0.0000 0.0000
V1 0.6666 0.6666 0.5000
Fe1 0.3333 0.3333 0.5000
Cl1 0.0131 0.3631 0.3117
Cl2 0.3630 0.0132 0.6883
Cl3 0.6238 0.3631 0.6882
Cl4 0.0131 0.6238 0.6882
Cl5 0.3630 0.6238 0.3117
Cl6 0.6238 0.0132 0.3117
# Crystal system = trigonal
# Total moment = 1.997 Bohr magnetons per cell
# Fermi-level density of states = 10.53 states/eV/cell

---

Record 2
# KVFe2Cl8, optimized geometry, DFT PBE-GGA
data_KVFe2Cl8
_chemical_formula_sum 'K1 V1 Fe2 Cl8'
_cell_length_a 6.2748
_cell_length_b 6.2748
_cell_length_c 9.1563
_cell_angle_alpha 86.54
_cell_angle_beta 86.54
_cell_angle_gamma 68.87
_symmetry_space_group_name_H-M 'P 1'
_symmetry_Int_Tables_number 1
_symmetry_space_group_name_Hall 'P 1'
loop_
_atom_site_label
_atom_site_fract_x
_atom_site_fract_y
_atom_site_fract_z
K1 0.0000 0.0000 0.5000
V1 0.0000 0.0000 0.0000
Fe1 0.6267 0.6267 0.2056
Fe2 0.3733 0.3733 0.7944
Cl1 0.7690 0.2504 0.8057
Cl2 0.7658 0.7658 0.0010
Cl3 0.6956 0.6956 0.4280
Cl4 0.3044 0.3044 0.5720
Cl5 0.2342 0.2342 0.9990
Cl6 0.2504 0.7690 0.8057
Cl7 0.7496 0.2310 0.1943
Cl8 0.2310 0.7496 0.1943
# Crystal system = monoclinic
# Total moment = 10.971 Bohr magnetons per cell
# Fermi-level density of states = 19.70 states/eV/cell

---

Record 3
# KYFeCl6, optimized geometry, DFT PBE-GGA
data_KYFeCl6
_chemical_formula_sum 'K1 Y1 Fe1 Cl6'
_cell_length_a 6.7095
_cell_length_b 6.7075
_cell_length_c 6.9836
_cell_angle_alpha 89.94
_cell_angle_beta 90.06
_cell_angle_gamma 60.00
_symmetry_space_group_name_H-M 'P 1'
_symmetry_Int_Tables_number 1
_symmetry_space_group_name_Hall 'P 1'
loop_
_atom_site_label
_atom_site_fract_x
_atom_site_fract_y
_atom_site_fract_z
K1 0.0000 0.0001 0.0000
Y1 0.3338 0.3340 0.5000
Fe1 0.6669 0.6669 0.5000
Cl1 0.9821 0.3788 0.2910
Cl2 0.3788 0.9821 0.7089
Cl3 0.6358 0.3816 0.7120
Cl4 0.9829 0.6376 0.7102
Cl5 0.3817 0.6359 0.2880
Cl6 0.6377 0.9830 0.2898
# Crystal system = monoclinic
# Total moment = 4.000 Bohr magnetons per cell
# Fermi-level density of states = 6.74 states/eV/cell

---

Record 4
# K2YFeCl, optimized geometry, DFT PBE-GGA
data_K2YFeCl
_chemical_formula_sum 'K2 Y1 Fe1 Cl1'
_cell_length_a 6.3075
_cell_length_b 4.7076
_cell_length_c 6.3075
_cell_angle_alpha 90.00
_cell_angle_beta 90.00
_cell_angle_gamma 90.00
_symmetry_space_group_name_H-M 'P 1'
_symmetry_Int_Tables_number 1
_symmetry_space_group_name_Hall 'P 1'
loop_
_atom_site_label
_atom_site_fract_x
_atom_site_fract_y
_atom_site_fract_z
Y1 0.0000 0.5000 0.0000
K1 0.0000 0.0000 0.5000
K2 0.5000 0.0000 0.0000
Fe1 0.0000 0.0000 0.0000
Cl1 0.5000 0.5000 0.5000
# Crystal system = tetragonal
# Total moment = 0.099 Bohr magnetons per cell
# Fermi-level density of states = 3.02 states/eV/cell

---

Record 5
# La2FeCl, optimized geometry, DFT PBE-GGA
data_La2FeCl
_chemical_formula_sum 'La2 Fe1 Cl1'
_cell_length_a 5.9234
_cell_length_b 5.9234
_cell_length_c 4.7049
_cell_angle_alpha 90.00
_cell_angle_beta 90.00
_cell_angle_gamma 36.37
_symmetry_space_group_name_H-M 'P 1'
_symmetry_Int_Tables_number 1
_symmetry_space_group_name_Hall 'P 1'
loop_
_atom_site_label
_atom_site_fract_x
_atom_site_fract_y
_atom_site_fract_z
Cl1 0.4902 0.4902 0.6250
Fe1 0.2238 0.2238 0.1250
La1 0.0314 0.0314 0.1250
La2 0.7547 0.7547 0.6250
# Offset from the most stable computed form = 0.082 eV/atom
# Crystal system = orthorhombic
# Total moment = 0.000 Bohr magnetons per cell
# Fermi-level density of states = 2.24 states/eV/cell

---

Record 6
# La2FeCl, optimized geometry, DFT PBE-GGA
data_La2FeCl
_chemical_formula_sum 'La2 Fe1 Cl1'
_cell_length_a 4.0529
_cell_length_b 4.0529
_cell_length_c 7.9264
_cell_angle_alpha 78.44
_cell_angle_beta 78.44
_cell_angle_gamma 57.12
_symmetry_space_group_name_H-M 'P 1'
_symmetry_Int_Tables_number 1
_symmetry_space_group_name_Hall 'P 1'
loop_
_atom_site_label
_atom_site_fract_x
_atom_site_fract_y
_atom_site_fract_z
Cl1 0.7500 0.7500 0.7500
Fe1 0.2500 0.2500 0.2500
La1 0.0125 0.0125 0.0461
La2 0.4875 0.4875 0.4539
# Offset from the most stable computed form = 0.010 eV/atom
# Crystal system = monoclinic
# Total moment = 0.347 Bohr magnetons per cell
# Fermi-level density of states = 4.32 states/eV/cell

---

Record 7
# La2FeCl, optimized geometry, DFT PBE-GGA
data_La2FeCl
_chemical_formula_sum 'La2 Fe1 Cl1'
_cell_length_a 5.1362
_cell_length_b 5.1362
_cell_length_c 5.1362
_cell_angle_alpha 60.00
_cell_angle_beta 60.00
_cell_angle_gamma 60.00
_symmetry_space_group_name_H-M 'P 1'
_symmetry_Int_Tables_number 1
_symmetry_space_group_name_Hall 'P 1'
loop_
_atom_site_label
_atom_site_fract_x
_atom_site_fract_y
_atom_site_fract_z
Cl1 0.5000 0.5000 0.5000
Fe1 0.7500 0.7500 0.7500
La1 0.0000 0.0000 0.0000
La2 0.2500 0.2500 0.2500
# Offset from the most stable computed form = 0.898 eV/atom
# Crystal system = cubic
# Total moment = 1.091 Bohr magnetons per cell
# Fermi-level density of states = 6.23 states/eV/cell

---

Record 8
# La2FeCl, optimized geometry, DFT PBE-GGA
data_La2FeCl
_chemical_formula_sum 'La2 Fe1 Cl1'
_cell_length_a 8.2207
_cell_length_b 8.2207
_cell_length_c 8.2207
_cell_angle_alpha 154.24
_cell_angle_beta 154.98
_cell_angle_gamma 36.22
_symmetry_space_group_name_H-M 'P 1'
_symmetry_Int_Tables_number 1
_symmetry_space_group_name_Hall 'P 1'
loop_
_atom_site_label
_atom_site_fract_x
_atom_site_fract_y
_atom_site_fract_z
Cl1 0.5497 0.5497 0.0000
Fe1 0.8157 0.3157 0.5000
La1 0.9226 0.9226 0.0000
La2 0.2120 0.7120 0.5000
# Offset from the most stable computed form = 0.126 eV/atom
# Crystal system = orthorhombic
# Total moment = 0.420 Bohr magnetons per cell
# Fermi-level density of states = 2.27 states/eV/cell

---

Record 9
# La2FeCl, optimized geometry, DFT PBE-GGA
data_La2FeCl
_chemical_formula_sum 'La2 Fe1 Cl1'
_cell_length_a 4.2106
_cell_length_b 4.2106
_cell_length_c 5.7888
_cell_angle_alpha 90.00
_cell_angle_beta 90.00
_cell_angle_gamma 90.00
_symmetry_space_group_name_H-M 'P 1'
_symmetry_Int_Tables_number 1
_symmetry_space_group_name_Hall 'P 1'
loop_
_atom_site_label
_atom_site_fract_x
_atom_site_fract_y
_atom_site_fract_z
Cl1 0.0000 0.0000 0.3784
Fe1 0.5000 0.5000 0.9342
La1 0.0000 0.0000 0.8765
La2 0.5000 0.5000 0.3109
# Offset from the most stable computed form = 0.000 eV/atom
# Crystal system = tetragonal
# Total moment = 0.000 Bohr magnetons per cell
# Fermi-level density of states = 1.46 states/eV/cell

---

Record 10
# LaFe4Cl, optimized geometry, DFT PBE-GGA
data_LaFe4Cl
_chemical_formula_sum 'La1 Fe4 Cl1'
_cell_length_a 5.2186
_cell_length_b 5.2186
_cell_length_c 5.2186
_cell_angle_alpha 60.00
_cell_angle_beta 60.00
_cell_angle_gamma 60.00
_symmetry_space_group_name_H-M 'P 1'
_symmetry_Int_Tables_number 1
_symmetry_space_group_name_Hall 'P 1'
loop_
_atom_site_label
_atom_site_fract_x
_atom_site_fract_y
_atom_site_fract_z
La1 0.7500 0.7500 0.7500
Fe1 0.8599 0.3800 0.3800
Fe2 0.3800 0.3800 0.8599
Fe3 0.3800 0.8599 0.3800
Fe4 0.3800 0.3800 0.3800
Cl1 0.0000 0.0000 0.0000
# Crystal system = cubic
# Total moment = 9.942 Bohr magnetons per cell
# Fermi-level density of states = 3.49 states/eV/cell

---

Record 11
# LaFe3Cl, optimized geometry, DFT PBE-GGA
data_LaFe3Cl
_chemical_formula_sum 'La1 Fe3 Cl1'
_cell_length_a 4.7625
_cell_length_b 4.7625
_cell_length_c 4.7625
_cell_angle_alpha 90.00
_cell_angle_beta 90.00
_cell_angle_gamma 90.00
_symmetry_space_group_name_H-M 'P 1'
_symmetry_Int_Tables_number 1
_symmetry_space_group_name_Hall 'P 1'
loop_
_atom_site_label
_atom_site_fract_x
_atom_site_fract_y
_atom_site_fract_z
Cl1 0.5000 0.5000 0.5000
Fe1 0.0000 0.5000 0.0000
Fe2 0.0000 0.0000 0.5000
Fe3 0.5000 0.0000 0.0000
La1 0.0000 0.0000 0.0000
# Offset from the most stable computed form = 1.165 eV/atom
# Crystal system = cubic
# Total moment = 5.900 Bohr magnetons per cell
# Fermi-level density of states = 7.14 states/eV/cell

---

Record 12
# La3FeCl3, optimized geometry, DFT PBE-GGA
data_La3FeCl3
_chemical_formula_sum 'La12 Fe4 Cl12'
_cell_length_a 10.2023
_cell_length_b 10.2023
_cell_length_c 10.2023
_cell_angle_alpha 109.47
_cell_angle_beta 109.47
_cell_angle_gamma 109.47
_symmetry_space_group_name_H-M 'P 1'
_symmetry_Int_Tables_number 1
_symmetry_space_group_name_Hall 'P 1'
loop_
_atom_site_label
_atom_site_fract_x
_atom_site_fract_y
_atom_site_fract_z
La1 0.9719 0.4859 0.2359
La2 0.5141 0.0281 0.2641
La3 0.2500 0.0141 0.4859
La4 0.9859 0.7500 0.0141
La5 0.9859 0.2359 0.4719
La6 0.7641 0.0141 0.0281
La7 0.7359 0.4719 0.4859
La8 0.7641 0.7500 0.2359
La9 0.5281 0.2641 0.0141
La10 0.2500 0.2359 0.2641
La11 0.7359 0.2641 0.7500
La12 0.5141 0.4859 0.7500
Fe1 0.7500 0.5000 0.0000
Fe2 0.5000 0.2500 0.5000
Fe3 0.7500 0.2500 0.2500
Fe4 0.0000 0.0000 0.2500
Cl1 0.2476 0.9976 0.9951
Cl2 0.7500 0.7524 0.7476
Cl3 0.4951 0.7476 0.9976
Cl4 0.0024 0.2500 0.9976
Cl5 0.2524 0.7476 0.2500
Cl6 0.4976 0.5024 0.2500
Cl7 0.2476 0.2500 0.7524
Cl8 0.2524 0.5049 0.5024
Cl9 0.7500 0.9976 0.5024
Cl10 0.0049 0.5024 0.7524
Cl11 0.0024 0.7524 0.5049
Cl12 0.4976 0.9951 0.7476
# Crystal system = cubic
# Total moment = 0.000 Bohr magnetons per cell
# Fermi-level density of states = 22.81 states/eV/cell

---

Number 1: E_tot -39.89 eV per formula unit, density 2.56 g/cm3. Number 2: E_tot -54.56 eV per formula unit, density 2.40 g/cm3. Number 3: E_tot -42.32 eV per formula unit, density 2.42 g/cm3. Number 4: E_tot -17.29 eV per formula unit, density 2.29 g/cm3. Number 5: E_tot -22.65 eV per formula unit, density 6.26 g/cm3. Number 6: E_tot -22.94 eV per formula unit, density 5.76 g/cm3. Number 7: E_tot -19.38 eV per formula unit, density 6.40 g/cm3. Number 8: E_tot -22.47 eV per formula unit, density 6.01 g/cm3. Number 9: E_tot -22.98 eV per formula unit, density 5.97 g/cm3. Number 10: E_tot -39.26 eV per formula unit, density 6.57 g/cm3. Number 11: E_tot -23.58 eV per formula unit, density 5.26 g/cm3. Number 12: E_tot -38.46 eV per formula unit, density 4.70 g/cm3.